1.
The following is a PBE calculation of a relaxed Ti4ZnGa crystal, from the Alexandria database.

Lattice parameters (Å, degrees): 4.2849 4.2849 21.0772 90.00 90.00 120.00
Space group R-3m (No. 166, hexagonal axes)
Unique sites:
Ti 0.0000 0.0000 0.1241 [6 per cell]
Ti 0.0000 0.0000 0.3744 [6 per cell]
Zn 0.0000 0.0000 0.0000 [3 per cell]
Ga 0.0000 0.0000 0.5000 [3 per cell]

Properties
**Crystal system**: trigonal
**E**: -104.04 eV per cell
**Relative energy among the computed polymorphs**: 0.306 eV/atom

---

2.
The following is a PBE calculation of a relaxed TlAuSe crystal, from the Alexandria database.

Lattice parameters (Å, degrees): 6.8035 6.8035 6.8035 90.00 90.00 90.00
Space group F-43m (No. 216)
Unique sites:
Tl 0.0000 0.0000 0.0000 [4 per cell]
Au 0.2500 0.2500 0.2500 [4 per cell]
Se 0.0000 0.0000 0.5000 [4 per cell]

Properties
**Crystal system**: cubic
**E**: -36.84 eV per cell

---

3.
The following is a PBE calculation of a relaxed PrSnBr2 crystal, from the Alexandria database.

Lattice parameters (Å, degrees): 3.7784 3.7784 32.5375 90.00 90.00 120.00
Space group R-3m (No. 166, hexagonal axes)
Unique sites:
Pr 0.0000 0.0000 0.0000 [3 per cell]
Sn 0.0000 0.0000 0.5000 [3 per cell]
Br 0.0000 0.0000 0.0872 [6 per cell]

Properties
**Crystal system**: trigonal
**E**: -43.11 eV per cell

---

4.
The following is a PBE calculation of a relaxed KPr2Sm3Se6 crystal, from the Alexandria database.

Lattice parameters (Å, degrees): 18.6368 4.2142 8.6287 90.00 103.85 90.00
Space group C2/m (No. 12)
Unique sites:
K 0.0000 0.0000 0.0000 [2 per cell]
Pr 0.1706 0.5000 0.3444 [4 per cell]
Sm 0.0000 0.0000 0.5000 [2 per cell]
Sm 0.1646 0.5000 0.8244 [4 per cell]
Se 0.0003 0.5000 0.2652 [4 per cell]
Se 0.1629 0.0000 0.5883 [4 per cell]
Se 0.1724 0.0000 0.0797 [4 per cell]

Properties
**Crystal system**: monoclinic
**E**: -134.39 eV per cell

---

5.
The following is a PBE calculation of a relaxed Y4Te3C crystal, from the Alexandria database.

Lattice parameters (Å, degrees): 8.5931 12.0430 4.0795 90.00 90.00 90.00
Space group Cmmm (No. 65)
Unique sites:
Y 0.0000 0.2073 0.0000 [4 per cell]
Y 0.1993 0.0000 0.5000 [4 per cell]
Te 0.0000 0.5000 0.0000 [2 per cell]
Te 0.2500 0.2500 0.5000 [4 per cell]
C 0.0000 0.0000 0.0000 [2 per cell]

Properties
**Crystal system**: orthorhombic
**E**: -106.50 eV per cell
**Relative energy among the computed polymorphs**: 0.000 eV/atom

---

6.
The following is a PBE calculation of a relaxed CsTbGe2Br8 crystal, from the Alexandria database.

Lattice parameters (Å, degrees): 6.7044 7.4213 10.3264 94.01 92.64 96.89
Space group P-1 (No. 2)
Unique sites:
Cs 0.0000 0.0000 0.0000 [1 per cell]
Tb 0.0000 0.0000 0.5000 [1 per cell]
Ge 0.4426 0.5586 0.3032 [2 per cell]
Br 0.2186 0.6902 0.4761 [2 per cell]
Br 0.2280 0.1783 0.3184 [2 per cell]
Br 0.2547 0.6027 0.1020 [2 per cell]
Br 0.2780 0.1368 0.7111 [2 per cell]

Properties
**Crystal system**: triclinic
**E**: -42.28 eV per cell

---

7.
The following is a PBE calculation of a relaxed BaNaAcZn crystal, from the Alexandria database.

Lattice parameters (Å, degrees): 8.3769 8.3769 8.3769 90.00 90.00 90.00
Space group F-43m (No. 216)
Unique sites:
Ba 0.0000 0.0000 0.0000 [4 per cell]
Na 0.2500 0.2500 0.7500 [4 per cell]
Ac 0.0000 0.0000 0.5000 [4 per cell]
Zn 0.2500 0.2500 0.2500 [4 per cell]

Properties
**Crystal system**: cubic
**E**: -33.46 eV per cell

---

8.
The following is a PBE calculation of a relaxed ZnCrW2 crystal, from the Alexandria database.

Lattice parameters (Å, degrees): 6.2106 6.2106 6.2106 90.00 90.00 90.00
Space group F-43m (No. 216)
Unique sites:
Zn 0.0000 0.0000 0.0000 [4 per cell]
Cr 0.2500 0.2500 0.2500 [4 per cell]
W 0.0000 0.0000 0.5000 [4 per cell]
W 0.2500 0.2500 0.7500 [4 per cell]

Properties
**Crystal system**: cubic
**E**: -141.79 eV per cell

---

9.
The following is a PBE calculation of a relaxed Na5PmHg6 crystal, from the Alexandria database.

Lattice parameters (Å, degrees): 5.3286 15.7847 7.4692 90.00 90.00 90.00
Space group Cmmm (No. 65)
Unique sites:
Na 0.0000 0.0000 0.0000 [2 per cell]
Na 0.0000 0.3264 0.5000 [4 per cell]
Na 0.0000 0.3352 0.0000 [4 per cell]
Pm 0.0000 0.0000 0.5000 [2 per cell]
Hg 0.0000 0.1622 0.2411 [8 per cell]
Hg 0.0000 0.5000 0.2647 [4 per cell]

Properties
**Crystal system**: orthorhombic
**E**: -32.76 eV per cell

---

10.
The following is a PBE calculation of a relaxed BaZn3Rh crystal, from the Alexandria database.

Lattice parameters (Å, degrees): 5.7993 5.7993 12.1518 90.00 90.00 120.00
Space group R3m (No. 160, hexagonal axes)
Unique sites:
Ba 0.0000 0.0000 0.0000 [3 per cell]
Zn 0.0101 0.5050 0.1113 [9 per cell]
Rh 0.0000 0.0000 0.2810 [3 per cell]

Properties
**Crystal system**: trigonal
**E**: -37.91 eV per cell
**Relative energy among the computed polymorphs**: 0.449 eV/atom

---

11.
The following is a PBE calculation of a relaxed DyHo3Ir8 crystal, from the Alexandria database.

Lattice parameters (Å, degrees): 5.3537 5.3537 8.7015 90.00 90.00 120.00
Space group P3m1 (No. 156)
Unique sites:
Dy 0.0000 0.0000 0.0000 [1 per cell]
Ho 0.0000 0.0000 0.3659 [1 per cell]
Ho 0.6667 0.3333 0.4998 [1 per cell]
Ho 0.6667 0.3333 0.8655 [1 per cell]
Ir 0.1633 0.3267 0.6826 [3 per cell]
Ir 0.3333 0.6667 0.4327 [1 per cell]
Ir 0.3333 0.6667 0.9327 [1 per cell]
Ir 0.5034 0.0067 0.1830 [3 per cell]

Properties
**Crystal system**: trigonal
**E**: -99.08 eV per cell
**Relative energy among the computed polymorphs**: 0.000 eV/atom

---

12.
The following is a PBE calculation of a relaxed Pr2HPd6Pt crystal, from the Alexandria database.

Lattice parameters (Å, degrees): 5.6540 5.6540 19.3929 90.00 90.00 120.00
Space group R-3m (No. 166, hexagonal axes)
Unique sites:
Pr 0.0000 0.0000 0.2172 [6 per cell]
H 0.0000 0.0000 0.0000 [3 per cell]
Pd 0.0004 0.5002 0.2747 [18 per cell]
Pt 0.0000 0.0000 0.5000 [3 per cell]

Properties
**Crystal system**: trigonal
**E**: -168.60 eV per cell